CsSn4Pb6: relaxed, PBE.

Summary:
For the energy relative to the elements, the calculation gives -0.02 eV/atom. The total energy comes out at -0.1313 Ha/atom. The magnetization is 0.00 μB/cell. The calculation puts the calculated volume at 380.4 Å³/cell.

Lattice parameters (Å, degrees): 9.0629 9.0629 5.3475 90.00 90.00 120.00
Space group P-6m2 (No. 187)
Unique sites:
Cs1 0.0000 0.0000 0.0000 (multiplicity 1)
Sn1 0.3333 0.6667 0.0000 (multiplicity 1)
Sn2 0.4277 0.2139 0.5000 (multiplicity 3)
Pb1 0.2077 0.4153 0.5000 (multiplicity 3)
Pb2 0.5345 0.0690 0.0000 (multiplicity 3)